# 1
The following is a PBE-GGA calculation of a relaxed SmMgCu2 crystal, from Alexandria.

The space group is P4/mmm (No. 123) and the conventional cell measures 3.350, 3.350 and 6.774 Å, with angles of 90.00, 90.00 and 90.00 degrees. Symmetry generates all atoms from Sm at (0.000, 0.000, 0.000), Mg at (0.000, 0.000, 0.500) and Cu at (0.500, 0.500, 0.287).

The mass density is 6.59 g/cm³. The size of the total moment is 0.00 μB per formula unit. As for the formation enthalpy at 0 K: -0.4 eV/f.u. The crystal system is tetragonal.

---

# 2
The following is a PBE-GGA calculation of a relaxed Pm3Nd2Sm6Pb crystal, from Alexandria.

The space group is C2/m (No. 12) and the conventional cell measures 6.235, 10.818 and 11.987 Å, with angles of 90.00, 100.14 and 90.00 degrees. Symmetry generates all atoms from Pm at (0.000, 0.000, 0.000), Pm at (0.000, 0.331, 0.000), Nd at (0.000, 0.166, 0.500), Sm at (0.242, 0.500, 0.251), Sm at (0.245, 0.338, 0.747) and Pb at (0.000, 0.500, 0.500).

The mass density is 7.65 g/cm³. The size of the total moment is 0.00 μB per formula unit. As for the formation enthalpy at 0 K: -0.8 eV/f.u. The crystal system is monoclinic.